The following is a PBE-GGA calculation of Sr3HfB after structural relaxation, from the Alexandria database.

The structure in extended XYZ format:
```
5
Lattice="-0.010 -3.089 -4.752 3.522 -3.727 2.415 -4.441 -2.949 1.926" Properties=species:S:1:pos:R:3 pbc="T T T"
Sr 1.761 -1.863 1.207
Sr -2.220 -1.474 0.963
Sr -0.005 -1.544 -2.376
B 0.000 0.000 0.000
Hf -0.465 -4.882 -0.206
```

Energy of formation from the pure elements = 4.6 eV per formula unit
E above lowest polymorph = 0.000 eV/atom
Space-group type = No. 221

The following is a PBE-GGA calculation of BaNaAs2Se after structural relaxation, from the Alexandria database.

The structure in extended XYZ format:
```
5
Lattice="6.131 0.000 0.000 0.000 6.131 0.000 0.000 0.000 6.140" Properties=species:S:1:pos:R:3 pbc="T T T"
Na 3.066 3.066 3.070
As 0.000 3.066 0.000
As 3.066 0.000 0.000
Ba 0.000 0.000 0.000
Se 0.000 0.000 3.070
```

ΔE_f (raw) = 378.8 meV per atom
E above lowest polymorph = 0.507 eV/atom
Space-group type = No. 123

The following is a PBE-GGA calculation of K2RbGe2 after structural relaxation, from the Alexandria database.

The structure in extended XYZ format:
```
10
Lattice="8.898 0.000 0.000 0.000 8.898 0.000 0.000 0.000 5.259" Properties=species:S:1:pos:R:3 pbc="T T T"
Ge 3.625 8.074 0.000
Ge 8.074 5.273 0.000
Ge 5.273 0.824 0.000
Ge 0.824 3.625 0.000
K 1.523 5.972 2.629
K 5.972 7.375 2.629
K 7.375 2.926 2.629
K 2.926 1.523 2.629
Rb 0.000 0.000 0.000
Rb 4.449 4.449 0.000
```

Energy of formation from the pure elements = -0.1 eV per formula unit
E above lowest polymorph = 0.021 eV/atom
Space-group type = No. 127

The following is a PBE-GGA calculation of Sm2GaCo after structural relaxation, from the Alexandria database.

The structure in extended XYZ format:
```
4
Lattice="-0.825 3.263 -0.342 -3.252 0.932 0.001 -1.042 2.497 9.616" Properties=species:S:1:pos:R:3 pbc="T T T"
Co 0.000 0.000 0.000
Ga -2.559 3.346 4.637
Sm -1.123 2.215 7.117
Sm -3.995 4.477 2.157
```

Energy of formation from the pure elements = 1.4 eV per formula unit
Space-group type = No. 166

The following is a PBE-GGA calculation of KHg2W after structural relaxation, from the Alexandria database.

The structure in extended XYZ format:
```
4
Lattice="6.072 -0.022 0.000 2.951 5.307 0.000 -4.512 -2.642 3.088" Properties=species:S:1:pos:R:3 pbc="T T T"
Hg 0.000 0.000 0.000
Hg 1.475 2.654 1.544
K 4.512 2.642 0.000
W 3.036 -0.011 1.544
```

Energy of formation from the pure elements = 4.8 eV per formula unit
E above lowest polymorph = 0.504 eV/atom
Space-group type = No. 119

The following is a PBE-GGA calculation of ZrCdCl2 after structural relaxation, from the Alexandria database.

The structure in extended XYZ format:
```
4
Lattice="5.300 0.008 0.000 -1.610 5.049 0.000 0.000 0.000 3.228" Properties=species:S:1:pos:R:3 pbc="T T T"
Cl 0.000 0.000 0.000
Cl 1.845 2.529 0.000
Zr 2.650 0.004 1.614
Cd -0.805 2.525 1.614
```

ΔE_f (raw) = -301.4 meV per atom
E above lowest polymorph = 0.771 eV/atom
Space-group type = No. 65

The following is a PBE-GGA calculation of KRbPd after structural relaxation, from the Alexandria database.

The structure in extended XYZ format:
```
6
Lattice="4.847 0.000 0.000 0.000 6.557 -0.240 -2.424 -1.679 8.908" Properties=species:S:1:pos:R:3 pbc="T T T"
Pd 2.424 -0.372 4.660
Pd 0.000 5.251 4.008
K 2.424 4.968 1.511
K 0.000 -0.090 7.157
Rb 2.424 3.191 5.825
Rb 0.000 1.687 2.843
```

Energy of formation from the pure elements = 0.1 eV per formula unit
E above lowest polymorph = 0.003 eV/atom
Space-group type = No. 12

The following is a PBE-GGA calculation of TaCl3 after structural relaxation, from the Alexandria database.

The structure in extended XYZ format:
```
4
Lattice="-3.107 2.426 2.354 1.954 -1.319 3.940 2.080 2.768 -0.106" Properties=species:S:1:pos:R:3 pbc="T T T"
Cl 0.000 0.000 0.000
Cl -0.513 2.597 1.124
Cl -0.576 0.554 3.147
Ta 2.017 0.724 1.917
```

ΔE_f (raw) = 426.6 meV per atom
Space-group type = No. 123

The following is a PBE-GGA calculation of Li2Al2F7 after structural relaxation, from the Alexandria database.

The structure in extended XYZ format:
```
11
Lattice="-0.865 0.154 5.571 3.084 -3.748 -0.788 4.973 1.610 2.118" Properties=species:S:1:pos:R:3 pbc="T T T"
Li 4.309 -0.686 4.784
Li 2.884 -1.298 2.116
Al 0.739 -0.218 4.799
Al 6.453 -1.766 2.101
F 2.048 -0.211 5.946
F 6.620 -1.140 3.716
F 5.144 -1.773 0.955
F 0.573 -0.844 3.184
F 0.000 0.000 0.000
F 3.958 -2.251 3.545
F 3.234 0.267 3.355
```

ΔE_f (raw) = -3012.2 meV per atom
Space-group type = No. 12

no.,size of the total moment (μB per atom),Fermi-level density of states (states/eV/f.u.),E (eV per formula unit)
1,0.54,2.8,-17.1
2,0.59,6.4,-14.1
3,0.00,3.7,-12.5
4,0.19,4.0,-18.2
5,0.85,3.2,-9.9
6,0.00,3.7,-14.4
7,0.00,1.2,-7.2
8,0.24,2.5,-15.7
9,0.09,0.8,-57.5